1.
## LaEuGeAu (PBE)

Data for crystalline LaEuGeAu at its relaxed geometry.

a = 5.3218 Å, b = 5.3218 Å, c = 5.3218 Å
α = 60.00°, β = 60.00°, γ = 60.00°
Closest atoms and distances in Å follow each position.
Fractional coordinates of all 4 atoms:
La  0.0000  0.0000  0.0000  4 Ge 3.26, 4 Au 3.26
Eu  0.5000  0.5000  0.5000  4 Ge 3.26, 4 Au 3.26
Ge  0.2500  0.2500  0.2500  4 Eu 3.26, 4 La 3.26
Au  0.7500  0.7500  0.7500  4 La 3.26, 4 Eu 3.26

## Properties
- magnetization (μB/f.u.) = 7.09
- space-group type = F-43m
- formation enthalpy at 0 K (eV per atom) = -0.77


2.
## LaCrMoPt2 (PBE)

Data for crystalline LaCrMoPt2 at its relaxed geometry.

a = 4.6199 Å, b = 4.6199 Å, c = 4.8956 Å
α = 90.00°, β = 90.00°, γ = 90.00°
Closest atoms and distances in Å follow each position.
Fractional coordinates of all 5 atoms:
La  0.0000  0.0000  0.0000  2 Cr 2.45
Cr  0.0000  0.0000  0.5000  4 Pt 2.31, 2 La 2.45
Mo  0.5000  0.5000  0.0000  4 La 3.27, 8 Pt 3.37
Pt  0.0000  0.5000  0.5000  2 Cr 2.31
Pt  0.5000  0.0000  0.5000  2 Cr 2.31

## Properties
- magnetization (μB/f.u.) = 0.03
- space-group type = P4/mmm
- formation enthalpy at 0 K (eV per atom) = 0.98


3.
## Er2CuTeS3 (PBE)

Data for crystalline Er2CuTeS3 at its relaxed geometry.

a = 7.9630 Å, b = 7.9630 Å, c = 7.9630 Å
α = 58.37°, β = 58.37°, γ = 58.37°
Closest atoms and distances in Å follow each position.
Fractional coordinates of all 14 atoms:
Er  0.0000  0.0000  0.0000  6 S 2.76
Er  0.0000  0.0000  0.5000  4 S 2.70, 2 Te 3.01
Er  0.0000  0.5000  0.0000  4 S 2.70, 2 Te 3.01
Er  0.5000  0.0000  0.0000  4 S 2.70, 2 Te 3.01
Cu  0.4011  0.4011  0.4011  3 S 2.36, 1 Te 2.62
Cu  0.5989  0.5989  0.5989  3 S 2.36, 1 Te 2.62
Te  0.2682  0.2682  0.2682  1 Cu 2.62
Te  0.7318  0.7318  0.7318  1 Cu 2.62
S  0.2338  0.7523  0.7523  1 Cu 2.36
S  0.2477  0.2477  0.7662  1 Cu 2.36
S  0.2477  0.7662  0.2477  1 Cu 2.36
S  0.7523  0.2338  0.7523  1 Cu 2.36
S  0.7523  0.7523  0.2338  1 Cu 2.36
S  0.7662  0.2477  0.2477  1 Cu 2.36

## Properties
- magnetization (μB/f.u.) = 0.00
- space-group type = R-3m
- formation energy without anion corrections (meV/atom) = -1302


4.
## Pr2Nd8Ho (PBE)

Data for crystalline Pr2Nd8Ho at its relaxed geometry.

a = 9.1177 Å, b = 9.1177 Å, c = 6.8540 Å
α = 100.22°, β = 100.22°, γ = 44.41°
Closest atoms and distances in Å follow each position.
Fractional coordinates of all 11 atoms:
Pr  0.1948  0.1948  0.3060  7 Nd 3.43-3.75, 1 Ho 3.78
Pr  0.8052  0.8052  0.6940  7 Nd 3.43-3.75, 1 Ho 3.78
Nd  0.1769  0.6507  0.0972  5 Nd 3.26-3.63, 1 Ho 3.39, 1 Pr 3.51
Nd  0.2436  0.2436  0.8150  5 Nd 3.36-3.54, 4 Pr 3.43-3.74
Nd  0.3493  0.8231  0.9028  5 Nd 3.26-3.63, 1 Ho 3.39, 1 Pr 3.51
Nd  0.4088  0.4088  0.5857  8 Nd 3.45-3.85, 1 Pr 3.75, 2 Ho 3.86
Nd  0.5912  0.5912  0.4143  8 Nd 3.45-3.85, 1 Pr 3.75, 2 Ho 3.86
Nd  0.6507  0.1769  0.0972  5 Nd 3.26-3.63, 1 Ho 3.39, 1 Pr 3.51
Nd  0.7564  0.7564  0.1850  5 Nd 3.36-3.54, 4 Pr 3.43-3.74
Nd  0.8231  0.3493  0.9028  5 Nd 3.26-3.63, 1 Ho 3.39, 1 Pr 3.51
Ho  0.0000  0.0000  0.5000  4 Nd 3.39, 2 Pr 3.78

## Properties
- magnetization (μB/f.u.) = 0.00
- space-group type = C2/m
- formation enthalpy at 0 K (eV per atom) = 0.15


5.
## La2Al5Rh (PBE)

Data for crystalline La2Al5Rh at its relaxed geometry.

a = 6.4841 Å, b = 6.4841 Å, c = 6.4841 Å
α = 122.72°, β = 122.72°, γ = 85.35°
Closest atoms and distances in Å follow each position.
Fractional coordinates of all 8 atoms:
La  0.0000  0.5000  0.5000  10 Al 3.13-3.27
La  0.5000  0.0000  0.5000  10 Al 3.13-3.27
Al  0.0248  0.0248  0.5559  1 Rh 2.46
Al  0.0248  0.4690  0.0000  1 Rh 2.46
Al  0.0369  0.0369  0.0000  1 Rh 2.44
Al  0.4690  0.0248  0.0000  1 Rh 2.46
Al  0.4690  0.4690  0.4441  1 Rh 2.46
Rh  0.7809  0.7809  0.0000  5 Al 2.44-2.46

## Properties
- magnetization (μB/f.u.) = 0.00
- space-group type = I4mm
- formation enthalpy at 0 K (eV per atom) = -0.46


6.
## Na2BiO3 (PBE)

Data for crystalline Na2BiO3 at its relaxed geometry.

a = 5.9778 Å, b = 5.9778 Å, c = 5.9639 Å
α = 99.89°, β = 99.89°, γ = 119.77°
Closest atoms and distances in Å follow each position.
Fractional coordinates of all 12 atoms:
Na  0.0000  0.0000  0.0000  6 O 2.50-2.52
Na  0.1597  0.8403  0.5000  6 O 2.44-2.64
Na  0.5000  0.5000  0.5000  6 O 2.40-2.61
Na  0.8403  0.1597  0.5000  6 O 2.44-2.64
Bi  0.3331  0.6669  0.0000  6 O 2.27-2.30
Bi  0.6669  0.3331  0.0000  6 O 2.27-2.30
O  0.0747  0.4380  0.2197  2 Bi 2.27-2.28, 2 Na 2.44-2.50
O  0.2855  0.2855  0.7734  2 Bi 2.30, 4 Na 2.40-2.53
O  0.4380  0.0747  0.2197  2 Bi 2.27-2.28, 2 Na 2.44-2.50
O  0.5620  0.9253  0.7803  2 Bi 2.27-2.28, 2 Na 2.44-2.50
O  0.7145  0.7145  0.2266  2 Bi 2.30, 4 Na 2.40-2.53
O  0.9253  0.5620  0.7803  2 Bi 2.27-2.28, 2 Na 2.44-2.50

## Properties
- magnetization (μB/f.u.) = 0.00
- space-group type = C2/m
- formation energy without anion corrections (meV/atom) = -1351


7.
## TmPaGeAu (PBE)

Data for crystalline TmPaGeAu at its relaxed geometry.

a = 5.0625 Å, b = 5.0625 Å, c = 5.0625 Å
α = 60.00°, β = 60.00°, γ = 60.00°
Closest atoms and distances in Å follow each position.
Fractional coordinates of all 4 atoms:
Tm  0.0000  0.0000  0.0000  4 Ge 3.10, 4 Au 3.10
Pa  0.5000  0.5000  0.5000  4 Ge 3.10, 4 Au 3.10
Ge  0.7500  0.7500  0.7500  4 Pa 3.10, 4 Tm 3.10
Au  0.2500  0.2500  0.2500  4 Pa 3.10, 4 Tm 3.10

## Properties
- magnetization (μB/f.u.) = 1.74
- space-group type = F-43m
- formation enthalpy at 0 K (eV per atom) = -0.42


8.
## Tb2ScSn (PBE)

Data for crystalline Tb2ScSn at its relaxed geometry.

a = 4.1165 Å, b = 4.1165 Å, c = 6.4277 Å
α = 90.00°, β = 90.00°, γ = 90.00°
Closest atoms and distances in Å follow each position.
Fractional coordinates of all 4 atoms:
Tb  0.0000  0.0000  0.2401  2 Tb 3.09-3.34, 4 Sn 3.29, 4 Sc 3.36
Tb  0.0000  0.0000  0.7599  2 Tb 3.09-3.34, 4 Sn 3.29, 4 Sc 3.36
Sc  0.5000  0.5000  0.5000  2 Sn 3.21, 8 Tb 3.36
Sn  0.5000  0.5000  0.0000  2 Sc 3.21, 8 Tb 3.29

## Properties
- magnetization (μB/f.u.) = 0.00
- space-group type = P4/mmm
- formation enthalpy at 0 K (eV per atom) = -0.36


9.
## Ir3PtRh6 (PBE)

Data for crystalline Ir3PtRh6 at its relaxed geometry.

a = 5.2383 Å, b = 5.2383 Å, c = 7.2044 Å
α = 110.28°, β = 110.28°, γ = 58.22°
Closest atoms and distances in Å follow each position.
Fractional coordinates of all 10 atoms:
Ir  0.0000  0.0000  0.0000  6 Rh 2.53-2.75, 2 Ir 2.57
Ir  0.0750  0.0750  0.6925  2 Ir 2.56-2.57, 5 Rh 2.57-2.81, 2 Pt 2.85
Ir  0.9250  0.9250  0.3075  2 Ir 2.56-2.57, 5 Rh 2.57-2.81, 2 Pt 2.85
Pt  0.5000  0.5000  0.5000  10 Rh 2.80-3.02, 4 Ir 2.85
Rh  0.0809  0.5628  0.6950  3 Rh 2.46-2.64, 3 Ir 2.53-2.67
Rh  0.3197  0.3197  0.0816  4 Ir 2.75-2.97, 6 Rh 2.77-3.05, 1 Pt 2.80
Rh  0.4372  0.9191  0.3050  3 Rh 2.46-2.64, 3 Ir 2.53-2.67
Rh  0.5628  0.0809  0.6950  3 Rh 2.46-2.64, 3 Ir 2.53-2.67
Rh  0.6803  0.6803  0.9184  4 Ir 2.75-2.97, 6 Rh 2.77-3.05, 1 Pt 2.80
Rh  0.9191  0.4372  0.3050  3 Rh 2.46-2.64, 3 Ir 2.53-2.67

## Properties
- magnetization (μB/f.u.) = 0.00
- space-group type = C2/m
- formation enthalpy at 0 K (eV per atom) = 0.35


10.
## GaMoI2Br (PBE)

Data for crystalline GaMoI2Br at its relaxed geometry.

a = 5.8177 Å, b = 5.8177 Å, c = 5.2963 Å
α = 90.00°, β = 90.00°, γ = 90.00°
Closest atoms and distances in Å follow each position.
Fractional coordinates of all 5 atoms:
Ga  0.0000  0.0000  0.0000  8 I 3.93, 4 Br 4.11
Mo  0.5000  0.5000  0.5000  2 Br 2.65, 4 I 2.91
I  0.0000  0.5000  0.5000  2 Mo 2.91
I  0.5000  0.0000  0.5000  2 Mo 2.91
Br  0.5000  0.5000  0.0000  2 Mo 2.65

## Properties
- magnetization (μB/f.u.) = 4.00
- space-group type = P4/mmm
- formation energy without anion corrections (meV/atom) = 93


11.
## Nd5Hg2PdRh2 (PBE)

Data for crystalline Nd5Hg2PdRh2 at its relaxed geometry.

a = 11.8291 Å, b = 11.8291 Å, c = 3.7587 Å
α = 90.00°, β = 90.00°, γ = 90.00°
Closest atoms and distances in Å follow each position.
Fractional coordinates of all 20 atoms:
Nd  0.0000  0.5000  0.0000  4 Rh 2.91
Nd  0.0848  0.1941  0.0000  2 Rh 2.84, 2 Pd 3.13
Nd  0.1941  0.9152  0.0000  2 Rh 2.84, 2 Pd 3.13
Nd  0.3059  0.4152  0.0000  2 Rh 2.84, 2 Pd 3.13
Nd  0.4152  0.6941  0.0000  2 Rh 2.84, 2 Pd 3.13
Nd  0.5000  0.0000  0.0000  4 Rh 2.91
Nd  0.5848  0.3059  0.0000  2 Rh 2.84, 2 Pd 3.13
Nd  0.6941  0.5848  0.0000  2 Rh 2.84, 2 Pd 3.13
Nd  0.8059  0.0848  0.0000  2 Rh 2.84, 2 Pd 3.13
Nd  0.9152  0.8059  0.0000  2 Rh 2.84, 2 Pd 3.13
Hg  0.1719  0.6719  0.5000  3 Rh 3.26-3.64, 6 Nd 3.44-3.45
Hg  0.3281  0.1719  0.5000  3 Rh 3.26-3.64, 6 Nd 3.44-3.45
Hg  0.6719  0.8281  0.5000  3 Rh 3.26-3.64, 6 Nd 3.44-3.45
Hg  0.8281  0.3281  0.5000  3 Rh 3.26-3.64, 6 Nd 3.44-3.45
Pd  0.0000  0.0000  0.5000  8 Nd 3.13
Pd  0.5000  0.5000  0.5000  8 Nd 3.13
Rh  0.1330  0.3670  0.5000  6 Nd 2.84-2.91
Rh  0.3670  0.8670  0.5000  6 Nd 2.84-2.91
Rh  0.6330  0.1330  0.5000  6 Nd 2.84-2.91
Rh  0.8670  0.6330  0.5000  6 Nd 2.84-2.91

## Properties
- magnetization (μB/f.u.) = 0.00
- space-group type = P4/mbm
- formation enthalpy at 0 K (eV per atom) = -0.55


12.
## Mn2NiP (PBE)

Data for crystalline Mn2NiP at its relaxed geometry.

a = 2.6392 Å, b = 3.5059 Å, c = 4.9879 Å
α = 90.00°, β = 98.62°, γ = 90.00°
Closest atoms and distances in Å follow each position.
Fractional coordinates of all 4 atoms:
Mn  0.0737  0.0000  0.2602  2 P 2.32, 2 Mn 2.48-2.57, 4 Ni 2.54
Mn  0.9263  0.0000  0.7398  2 P 2.32, 2 Mn 2.48-2.57, 4 Ni 2.54
Ni  0.5000  0.5000  0.0000  2 P 2.49, 8 Mn 2.54, 2 Ni 2.64
P  0.5000  0.5000  0.5000  4 Mn 2.32, 2 Ni 2.49

## Properties
- magnetization (μB/f.u.) = 4.48
- space-group type = P2/m
- formation enthalpy at 0 K (eV per atom) = -0.13